No. 1
A relaxed HoZnAs crystal. Source: the Open Quantum Materials Database, functional GGA-PBE.

Cell and atoms, written as POSCAR:
```
HoZnAs
1.0
0.000 3.353 3.353
3.353 0.000 3.353
3.353 3.353 0.000
Ho Zn As
1 1 1
direct
0.000 0.000 0.000
0.250 0.250 0.250
0.750 0.750 0.750
```

## Properties
Total magnetic moment (μB/atom): 0.00

No. 2
A relaxed La3FeCoS7 crystal. Source: the Open Quantum Materials Database, functional GGA-PBE.

Cell and atoms, written as POSCAR:
```
La3FeCoS7
1.0
10.184 0.000 0.000
-5.092 8.820 0.000
0.000 0.000 5.869
La Fe Co S
6 2 2 14
direct
0.142 0.372 0.000
0.231 0.858 0.000
0.372 0.231 0.500
0.628 0.769 0.000
0.769 0.142 0.500
0.858 0.628 0.500
0.333 0.667 0.414
0.667 0.333 0.914
0.000 0.000 0.279
0.000 0.000 0.779
0.083 0.219 0.532
0.097 0.581 0.279
0.135 0.917 0.532
0.219 0.135 0.032
0.333 0.667 0.791
0.419 0.517 0.279
0.483 0.903 0.279
0.517 0.097 0.779
0.581 0.483 0.779
0.667 0.333 0.291
0.781 0.865 0.532
0.865 0.083 0.032
0.903 0.419 0.779
0.917 0.781 0.032
```

## Properties
Total magnetic moment (μB/atom): 0.54

No. 3
A relaxed CsZrCuSeS2 crystal. Source: the Open Quantum Materials Database, functional GGA-PBE.

Cell and atoms, written as POSCAR:
```
CsZrCuSeS2
1.0
1.919 -7.971 0.000
1.919 7.971 0.000
0.000 0.000 10.117
Cs Zr Cu Se S
2 2 2 2 4
direct
0.247 0.753 0.750
0.753 0.247 0.250
0.000 0.000 0.000
0.000 0.000 0.500
0.467 0.533 0.250
0.533 0.467 0.750
0.065 0.935 0.250
0.935 0.065 0.750
0.394 0.606 0.055
0.394 0.606 0.445
0.606 0.394 0.555
0.606 0.394 0.945
```

## Properties
Total magnetic moment (μB/atom): 0.00

No. 4
A relaxed GdSi2 crystal. Source: the Open Quantum Materials Database, functional GGA-PBE.

Cell and atoms, written as POSCAR:
```
GdSi2
1.0
0.000 6.717 6.717
6.717 0.000 6.717
6.717 6.717 0.000
Gd Si
2 4
direct
0.125 0.125 0.125
0.875 0.875 0.875
0.000 0.000 0.000
0.000 0.000 0.500
0.000 0.500 0.000
0.500 0.000 0.000
```

## Properties
Total magnetic moment (μB/atom): 1.00

No. 5
A relaxed PmBeCo crystal. Source: the Open Quantum Materials Database, functional GGA-PBE.

Cell and atoms, written as POSCAR:
```
PmBeCo
1.0
0.000 3.005 3.005
3.005 0.000 3.005
3.005 3.005 0.000
Pm Be Co
1 1 1
direct
0.000 0.000 0.000
0.750 0.750 0.750
0.500 0.500 0.500
```

## Properties
Total magnetic moment (μB/atom): 0.09
Excess energy over the best structure of this formula in the dataset (meV/atom): 80

No. 6
A relaxed Ho3FeCo8 crystal. Source: the Open Quantum Materials Database, functional GGA-PBE.

Cell and atoms, written as POSCAR:
```
Ho3FeCo8
1.0
2.496 1.441 7.962
-2.496 1.441 7.962
0.000 -2.882 7.962
Ho Fe Co
3 1 8
direct
0.000 0.000 0.000
0.140 0.140 0.140
0.860 0.860 0.860
0.500 0.500 0.500
0.080 0.583 0.583
0.334 0.334 0.334
0.417 0.417 0.920
0.417 0.920 0.417
0.583 0.080 0.583
0.583 0.583 0.080
0.666 0.666 0.666
0.920 0.417 0.417
```

## Properties
Total magnetic moment (μB/atom): 0.98
ΔH_f (0 K) (kJ per mole of atoms): -18.1

No. 7
A relaxed CsMg2Cd2As3 crystal. Source: the Open Quantum Materials Database, functional GGA-PBE.

Cell and atoms, written as POSCAR:
```
CsMg2Cd2As3
1.0
4.496 0.000 0.000
0.000 4.518 0.000
0.000 0.000 10.920
Cs Mg Cd As
1 2 2 3
direct
0.000 0.000 0.000
0.500 0.000 0.340
0.500 0.000 0.660
0.000 0.500 0.340
0.000 0.500 0.660
0.000 0.000 0.500
0.500 0.500 0.206
0.500 0.500 0.794
```

## Properties
Excess energy over the best structure of this formula in the dataset (meV/atom): 0

No. 8
A relaxed TlAuO crystal. Source: the Open Quantum Materials Database, functional GGA-PBE.

Cell and atoms, written as POSCAR:
```
TlAuO
1.0
-4.750 4.750 2.879
4.750 -4.750 2.879
4.750 4.750 -2.879
Tl Au O
4 4 4
direct
0.000 0.287 0.287
0.000 0.713 0.713
0.287 0.000 0.287
0.713 0.000 0.713
0.341 0.341 0.681
0.341 0.659 0.000
0.659 0.341 0.000
0.659 0.659 0.319
0.192 0.500 0.692
0.500 0.192 0.692
0.500 0.808 0.308
0.808 0.500 0.308
```

No. 9
A relaxed Zn2Mo crystal. Source: the Open Quantum Materials Database, functional GGA-PBE.

Cell and atoms, written as POSCAR:
```
Zn2Mo
1.0
8.102 0.000 0.000
0.000 4.290 0.000
-3.467 0.000 10.297
Zn Mo
16 8
direct
0.000 0.000 0.000
0.002 0.000 0.500
0.033 0.000 0.261
0.039 0.000 0.752
0.178 0.500 0.029
0.185 0.500 0.519
0.216 0.500 0.281
0.217 0.500 0.780
0.330 0.000 0.193
0.344 0.000 0.959
0.531 0.500 0.920
0.558 0.500 0.428
0.660 0.000 0.352
0.686 0.000 0.860
0.873 0.500 0.822
0.888 0.500 0.587
0.357 0.000 0.693
0.363 0.000 0.465
0.527 0.500 0.669
0.533 0.500 0.170
0.684 0.000 0.610
0.690 0.000 0.111
0.855 0.500 0.316
0.861 0.500 0.087
```

## Properties
Total magnetic moment (μB/atom): 0.00
ΔH_f (0 K) (kJ per mole of atoms): 8.6

No. 10
A relaxed Cd3GeS4 crystal. Source: the Open Quantum Materials Database, functional GGA-PBE.

Cell and atoms, written as POSCAR:
```
Cd3GeS4
1.0
-3.002 3.002 5.880
3.002 -3.002 5.880
3.002 3.002 -5.880
Cd Ge S
3 1 4
direct
0.000 0.000 0.000
0.250 0.750 0.500
0.750 0.250 0.500
0.500 0.500 0.000
0.120 0.120 0.492
0.373 0.880 0.000
0.627 0.627 0.508
0.880 0.373 0.000
```

No. 11
A relaxed Gd2DyCu4Ge4 crystal. Source: the Open Quantum Materials Database, functional GGA-PBE.

Cell and atoms, written as POSCAR:
```
Gd2DyCu4Ge4
1.0
-2.109 3.329 6.993
2.109 -3.329 6.993
2.109 3.329 -6.993
Gd Dy Cu Ge
2 1 4 4
direct
0.130 0.130 0.000
0.870 0.870 0.000
0.500 0.000 0.500
0.142 0.331 0.811
0.480 0.669 0.811
0.520 0.331 0.189
0.858 0.669 0.189
0.192 0.500 0.692
0.284 0.784 0.500
0.716 0.216 0.500
0.808 0.500 0.308
```

## Properties
Total magnetic moment (μB/atom): 0.00

No. 12
A relaxed PmSbN2O crystal. Source: the Open Quantum Materials Database, functional GGA-PBE.

Cell and atoms, written as POSCAR:
```
PmSbN2O
1.0
8.092 0.000 0.000
0.000 7.969 0.000
-7.947 0.000 8.140
Pm Sb N O
8 8 16 8
direct
0.187 0.012 0.234
0.187 0.488 0.734
0.242 0.510 0.245
0.242 0.990 0.745
0.758 0.010 0.255
0.758 0.490 0.755
0.813 0.512 0.266
0.813 0.988 0.766
0.273 0.249 0.017
0.273 0.251 0.517
0.279 0.743 0.011
0.279 0.757 0.511
0.721 0.243 0.489
0.721 0.257 0.989
0.727 0.749 0.483
0.727 0.751 0.983
0.171 0.004 0.471
0.171 0.496 0.971
0.254 0.505 0.470
0.254 0.995 0.970
0.414 0.234 0.251
0.414 0.266 0.751
0.424 0.716 0.920
0.424 0.784 0.420
0.576 0.216 0.580
0.576 0.284 0.080
0.586 0.734 0.249
0.586 0.766 0.749
0.746 0.005 0.030
0.746 0.495 0.530
0.829 0.504 0.029
0.829 0.996 0.529
0.049 0.238 0.755
0.049 0.262 0.255
0.053 0.713 0.547
0.053 0.787 0.047
0.947 0.213 0.953
0.947 0.287 0.453
0.951 0.738 0.745
0.951 0.762 0.245
```

## Properties
Total magnetic moment (μB/atom): 0.00

no.,total DFT energy (no corrections) (eV per cell)
1,-11.87
2,-153.03
3,-64.31
4,-20.15
5,-14.34
6,-81.14
7,-23.55
8,-46.13
9,-104.88
10,-27.54
11,-54.24
12,-280.03